w | Mg2Cd2Sb: relaxed, PBE-GGA.

Results
**Symmetry**: P4/mbm (127)
**Magnetic moment**: 0.00 μB per formula unit
**DOS at the Fermi energy**: 3.907 states/eV per cell

Unit cell a=8.287 b=8.287 c=3.396 alpha=90.00 beta=90.00 gamma=90.00
Sites, in units of the cell vectors:
Cd  0.126  0.374  0.000
Mg  0.327  0.173  0.500
Mg  0.827  0.327  0.500
Mg  0.673  0.827  0.500
Cd  0.374  0.874  0.000
Mg  0.173  0.673  0.500
Sb  0.000  0.000  0.000
Sb  0.500  0.500  0.000
Cd  0.626  0.126  0.000
Cd  0.874  0.626  0.000



x | Mg2Cd2Sb: relaxed, PBE-GGA.

Results
**Symmetry**: I4/mmm (139)
**Magnetic moment**: 0.00 μB per formula unit
**DOS at the Fermi energy**: 1.536 states/eV per cell

Unit cell a=4.295 b=4.295 c=7.347 alpha=73.00 beta=73.00 gamma=90.00
Sites, in units of the cell vectors:
Sb  0.000  0.000  0.000
Cd  0.603  0.603  0.795
Mg  0.250  0.750  0.500
Mg  0.750  0.250  0.500
Cd  0.397  0.397  0.205



Going by the energies, w is most stable and the next is 103 meV/atom up.